Entry 1:
Compound: La4CBr
Source: Alexandria
Functional: GGA-PBE
Structure: optimized geometry

a = 8.855 Å, b = 8.855 Å, c = 6.831 Å
α = 104.60°, β = 104.60°, γ = 123.79°
Fractional coordinates of all 12 atoms:
1 La 0.015 0.380 0.729
2 La 0.134 0.261 0.200
3 La 0.261 0.134 0.700
4 La 0.380 0.015 0.229
5 La 0.620 0.985 0.771
6 La 0.739 0.866 0.300
7 La 0.866 0.739 0.800
8 La 0.985 0.620 0.271
9 C 0.062 0.938 0.250
10 C 0.938 0.062 0.750
11 Br 0.436 0.564 0.750
12 Br 0.564 0.436 0.250

Raw formation energy = -0.4759 eV per atom
DOS(E_F) = 11.2 states/eV per cell

---

Entry 2:
Compound: Sr3Ca5Ag3
Source: Alexandria
Functional: GGA-PBE
Structure: optimized geometry

a = 9.469 Å, b = 9.469 Å, c = 6.194 Å
α = 90.00°, β = 90.00°, γ = 120.00°
Fractional coordinates of all 11 atoms:
1 Sr 0.000 0.597 0.000
2 Sr 0.403 0.403 0.000
3 Sr 0.597 0.000 0.000
4 Ca 0.000 0.247 0.500
5 Ca 0.247 0.000 0.500
6 Ca 0.333 0.667 0.500
7 Ca 0.667 0.333 0.500
8 Ca 0.753 0.753 0.500
9 Ag 0.000 0.626 0.500
10 Ag 0.374 0.374 0.500
11 Ag 0.626 0.000 0.500

Energy of formation from the pure elements = -0.0768 eV per atom
DOS(E_F) = 8.5 states/eV per cell

---

Entry 3:
Compound: TbDy4Pd4
Source: Alexandria
Functional: GGA-PBE
Structure: optimized geometry

a = 8.958 Å, b = 8.958 Å, c = 5.796 Å
α = 90.00°, β = 90.00°, γ = 90.00°
Fractional coordinates of all 18 atoms:
1 Tb 0.250 0.250 0.250
2 Tb 0.750 0.750 0.750
3 Dy 0.070 0.658 0.161
4 Dy 0.158 0.930 0.661
5 Dy 0.342 0.570 0.661
6 Dy 0.430 0.842 0.161
7 Dy 0.570 0.158 0.839
8 Dy 0.658 0.430 0.339
9 Dy 0.842 0.070 0.339
10 Dy 0.930 0.342 0.839
11 Pd 0.032 0.627 0.657
12 Pd 0.127 0.968 0.157
13 Pd 0.373 0.532 0.157
14 Pd 0.468 0.873 0.657
15 Pd 0.532 0.127 0.343
16 Pd 0.627 0.468 0.843
17 Pd 0.873 0.032 0.843
18 Pd 0.968 0.373 0.343

Energy of formation from the pure elements = -0.6717 eV per atom
DOS(E_F) = 14.6 states/eV per cell

---

Entry 4:
Compound: Nd2CuP4Pd3
Source: Alexandria
Functional: GGA-PBE
Structure: optimized geometry

a = 4.287 Å, b = 4.287 Å, c = 9.553 Å
α = 90.00°, β = 90.00°, γ = 90.00°
Fractional coordinates of all 10 atoms:
1 Nd 0.000 0.500 0.247
2 Nd 0.500 0.000 0.753
3 Cu 0.000 0.000 0.500
4 P 0.000 0.000 0.000
5 P 0.000 0.500 0.630
6 P 0.500 0.000 0.370
7 P 0.500 0.500 0.000
8 Pd 0.000 0.500 0.883
9 Pd 0.500 0.000 0.117
10 Pd 0.500 0.500 0.500

Energy of formation from the pure elements = -0.8591 eV per atom
DOS(E_F) = 2.1 states/eV per cell